(1)
DFT (PBE) results for YOs after structural relaxation.

a = 7.1572 Å, b = 7.1572 Å, c = 7.1572 Å
α = 34.18°, β = 34.18°, γ = 34.18°
Closest atoms and distances in Å follow each position.
Atoms (fractional coordinates):
Y1 0.0939 0.0939 0.0939  6 Os 2.97-3.20
Y2 0.9061 0.9061 0.9061  6 Os 2.97-3.20
Os1 0.3239 0.3239 0.3239  3 Os 2.46
Os2 0.6761 0.6761 0.6761  3 Os 2.46

Computed properties:
Spin magnetization   0.0 μB/f.u.
DFT total energy   -8.90 eV/atom
Space group   R-3m, No. 166
Theoretical density   8.99 g/cm³


(2)
DFT (PBE) results for Y3Os4 after structural relaxation.

a = 15.4390 Å, b = 15.4390 Å, c = 15.4390 Å
α = 168.85°, β = 168.85°, γ = 15.79°
Closest atoms and distances in Å follow each position.
Atoms (fractional coordinates):
Y1 0.0000 0.0000 0.0000  4 Y 3.00, 8 Os 3.14
Y2 0.3032 0.3032 0.0000  4 Y 3.00, 4 Os 3.03
Y3 0.6968 0.6968 0.0000  4 Y 3.00, 4 Os 3.03
Os1 0.1261 0.1261 0.0000  4 Os 2.63
Os2 0.4245 0.4245 0.0000  4 Os 2.63
Os3 0.5755 0.5755 0.0000  4 Os 2.63
Os4 0.8739 0.8739 0.0000  4 Os 2.63

Computed properties:
Spin magnetization   0.0 μB/f.u.
DFT total energy   -9.07 eV/atom
Space group   I4/mmm, No. 139
Theoretical density   12.40 g/cm³